Entry 1:
DFT (PBE-GGA) results for Nd after structural relaxation.

Calculated values
The value obtained for the formation energy is 0.005 eV per atom. The value obtained for the total energy is -4.76 eV/atom. As for the space group: R-3m (166). The density of states at the Fermi level comes out at 1.260 states/eV/f.u.

a b c (Å): 3.7013 3.7013 26.8044
angles (deg): 90.00 90.00 120.00
Fractional positions:
Nd  0.0000  0.0000  0.0000
Nd  0.0000  0.0000  0.2232
Nd  0.0000  0.0000  0.7768
Nd  0.3333  0.6667  0.4435
Nd  0.3333  0.6667  0.6667
Nd  0.3333  0.6667  0.8898
Nd  0.6667  0.3333  0.1102
Nd  0.6667  0.3333  0.3333
Nd  0.6667  0.3333  0.5565



Entry 2:
DFT (PBE-GGA) results for Nd after structural relaxation.

Calculated values
The value obtained for the formation energy is 0.000 eV per atom. The value obtained for the total energy is -4.77 eV/atom. As for the space group: P6_3/mmc (194). The density of states at the Fermi level comes out at 1.064 states/eV/f.u.

a b c (Å): 3.7004 3.7004 11.9078
angles (deg): 90.00 90.00 120.00
Fractional positions:
Nd  0.0000  0.0000  0.0000
Nd  0.0000  0.0000  0.5000
Nd  0.3333  0.6667  0.2500
Nd  0.6667  0.3333  0.7500



Entry 3:
DFT (PBE-GGA) results for Nd3Ni4 after structural relaxation.

Calculated values
The value obtained for the formation energy is -0.330 eV per atom. The value obtained for the total energy is -5.68 eV/atom. As for the space group: Cm (8). The density of states at the Fermi level comes out at 5.333 states/eV/f.u.

a b c (Å): 5.3672 5.3672 13.3263
angles (deg): 90.00 90.00 46.15
Fractional positions:
Nd  0.0000  0.0000  0.0000
Nd  0.9996  0.9996  0.2964
Nd  0.4505  0.4505  0.5000
Nd  0.4510  0.4510  0.7964
Nd  0.7134  0.7134  0.1482
Nd  0.7372  0.7372  0.6482
Ni  0.0326  0.0326  0.6484
Ni  0.1615  0.1615  0.4825
Ni  0.1624  0.1624  0.8141
Ni  0.2880  0.2880  0.3143
Ni  0.2886  0.2886  0.9823
Ni  0.4177  0.4177  0.1483
Ni  0.7244  0.7244  0.3987
Ni  0.7255  0.7255  0.8981



Entry 4:
DFT (PBE-GGA) results for Nd13Ni2 after structural relaxation.

Calculated values
The value obtained for the formation energy is -0.023 eV per atom. The value obtained for the total energy is -4.93 eV/atom. As for the space group: P-1 (2). The density of states at the Fermi level comes out at 20.584 states/eV/f.u.

a b c (Å): 6.5747 8.5931 9.6427
angles (deg): 63.71 81.82 80.19
Fractional positions:
Nd  0.0000  0.0000  0.0000
Nd  0.0078  0.8075  0.6662
Nd  0.1555  0.6689  0.3702
Nd  0.2346  0.5657  0.0392
Nd  0.3032  0.3651  0.7744
Nd  0.4499  0.0643  0.1587
Nd  0.4593  0.2351  0.4428
Nd  0.5407  0.7649  0.5572
Nd  0.5501  0.9357  0.8413
Nd  0.6968  0.6349  0.2256
Nd  0.7654  0.4343  0.9608
Nd  0.8445  0.3311  0.6298
Nd  0.9922  0.1925  0.3338
Ni  0.1819  0.0663  0.6898
Ni  0.8181  0.9337  0.3102



Entry 5:
DFT (PBE-GGA) results for NdNi4 after structural relaxation.

Calculated values
The value obtained for the formation energy is 0.685 eV per atom. The value obtained for the total energy is -4.89 eV/atom. As for the space group: I4/mmm (139). The density of states at the Fermi level comes out at 10.614 states/eV/f.u.

a b c (Å): 7.7933 7.7933 2.8602
angles (deg): 90.00 90.00 90.00
Fractional positions:
Nd  0.0000  0.0000  0.0000
Nd  0.5000  0.5000  0.5000
Ni  0.0000  0.3287  0.0000
Ni  0.0000  0.6713  0.0000
Ni  0.1713  0.5000  0.5000
Ni  0.3287  0.0000  0.0000
Ni  0.5000  0.1713  0.5000
Ni  0.5000  0.8287  0.5000
Ni  0.6713  0.0000  0.0000
Ni  0.8287  0.5000  0.5000



Entry 6:
DFT (PBE-GGA) results for NdNi4 after structural relaxation.

Calculated values
The value obtained for the formation energy is 1.656 eV per atom. The value obtained for the total energy is -3.92 eV/atom. As for the space group: Pm-3m (221). The density of states at the Fermi level comes out at 7.374 states/eV/f.u.

a b c (Å): 4.6873 4.6873 4.6873
angles (deg): 90.00 90.00 90.00
Fractional positions:
Nd  0.0000  0.0000  0.0000
Ni  0.0000  0.0000  0.5000
Ni  0.0000  0.5000  0.0000
Ni  0.5000  0.0000  0.0000
Ni  0.5000  0.5000  0.5000



Quick rundown of volume, same order as above: 35.33 35.30 19.78 32.00 17.37 20.60 Å³ per atom